The following is a PBE calculation of a geometry-optimized UZnAg structure, from OQMD via LeMat-Bulk.

abc: 4.6398 4.6398 4.6398
angles: 60.00 60.00 60.00
Closest atoms and distances in Å follow each position.
Sites, in units of the cell vectors:
U (0.0000, 0.0000, 0.0000)  4 Zn 2.84
Zn (0.7500, 0.7500, 0.7500)  4 U 2.84, 4 Ag 2.84
Ag (0.5000, 0.5000, 0.5000)  4 Zn 2.84

Computed properties:
* calculated density: 9.7 Mg/m³
* energy relative to the elements: 0.657 eV/atom
* total magnetization: 2.67 μB per formula unit
* space group: F-43m (216)
* crystal system: cubic